Entry from Alexandria via LeMat-Bulk: a relaxed structure of SiPdI3 (PBE-GGA).

Its space-group type is Pm-3m (221). The calculation puts the excess energy over the best structure of this formula in the dataset at 0.0000 eV/atom. The value obtained for the final energy is -2.596 eV per atom. The magnetization is 0.6 μB per formula unit.

```
5
Lattice="5.455 0.000 0.000 0.000 5.455 0.000 0.000 0.000 5.455" Properties=species:S:1:pos:R:3 pbc="T T T"
Si 0.000 0.000 0.000
Pd 2.728 2.728 2.728
I 0.000 2.728 2.728
I 2.728 0.000 2.728
I 2.728 2.728 0.000
```

***

Entry from Alexandria via LeMat-Bulk: a relaxed structure of VHAuBr2 (PBE-GGA).

Its space-group type is P4/mmm (123). The calculation puts the excess energy over the best structure of this formula in the dataset at 0.0528 eV/atom. The value obtained for the final energy is -3.354 eV per atom. The magnetization is 3.4 μB per formula unit.

```
5
Lattice="5.286 0.000 0.000 0.000 5.286 0.000 0.000 0.000 3.481" Properties=species:S:1:pos:R:3 pbc="T T T"
V 0.000 0.000 0.000
H 2.643 2.643 1.741
Au 2.643 2.643 0.000
Br 0.000 2.643 1.741
Br 2.643 0.000 1.741
```

***

Entry from Alexandria via LeMat-Bulk: a relaxed structure of Rb3SrTm2S6 (PBE-GGA).

Its space-group type is C2/m (12). The value obtained for the final energy is -4.848 eV per atom. The magnetization is 0.0 μB per formula unit.

```
12
Lattice="3.592 -6.224 0.000 3.592 6.224 0.000 -2.406 0.000 7.686" Properties=species:S:1:pos:R:3 pbc="T T T"
Rb 0.000 0.000 0.000
Rb 3.592 2.011 0.000
Rb 3.592 -2.011 0.000
Sr 2.389 0.000 3.843
Tm 2.389 4.144 3.843
Tm 2.389 -4.144 3.843
S 1.100 2.235 2.352
S -0.188 0.000 5.322
S 1.100 -2.235 2.352
S 3.679 2.235 5.334
S 4.967 0.000 2.364
S 3.679 -2.235 5.334
```

***

Entry from Alexandria via LeMat-Bulk: a relaxed structure of In2As2Au (PBE-GGA).

Its space-group type is P4/mbm (127). The calculation puts the excess energy over the best structure of this formula in the dataset at 0.0506 eV/atom. As for the calculated formation energy: 107.2 meV per atom. The value obtained for the final energy is -3.503 eV per atom. The magnetization is 0.0 μB per formula unit.

```
10
Lattice="7.455 0.000 0.000 0.000 7.455 0.000 0.000 0.000 4.157" Properties=species:S:1:pos:R:3 pbc="T T T"
In 1.146 2.582 0.000
In 2.582 6.309 0.000
In 4.873 1.146 0.000
In 6.309 4.873 0.000
As 1.205 4.933 2.078
As 2.522 1.205 2.078
As 4.933 6.250 2.078
As 6.250 2.522 2.078
Au 0.000 0.000 2.078
Au 3.728 3.728 2.078
```

***

Q: What is the final energy in the third record?
A: -4.848 eV per atom